Material: TcRu2Br
Method: DFT, GGA-PBE
State: relaxed

E_form (uncorrected) in kJ/mol of atoms: 79.19
Magnetic moment in μB per formula unit: 0.005
Distance to the lowest polymorph of the same formula in kJ/mol of formula units: 108

a b c (Å): 2.8453 4.8828 9.2982
angles (deg): 90.00 90.00 90.00
Space group Cmmm (No. 65)
Asymmetric unit:
Tc1 0.0000 0.0000 0.0000 (multiplicity 2)
Ru1 0.0000 0.5000 0.2317 (multiplicity 4)
Br1 0.0000 0.0000 0.5000 (multiplicity 2)



Material: In2ReIr
Method: DFT, GGA-PBE
State: relaxed

Energy relative to the elements in eV/atom: 0.53
Magnetic moment in μB per formula unit: 0.001
Distance to the lowest polymorph of the same formula in kJ/mol of formula units: 161

a b c (Å): 4.0615 4.0615 8.5392
angles (deg): 90.00 90.00 90.00
Space group I-4m2 (No. 119)
Asymmetric unit:
In1 0.0000 0.0000 0.0000 (multiplicity 2)
In2 0.0000 0.5000 0.2500 (multiplicity 2)
Re1 0.0000 0.0000 0.5000 (multiplicity 2)
Ir1 0.0000 0.5000 0.7500 (multiplicity 2)



Material: InGaAu3
Method: DFT, GGA-PBE
State: relaxed

Energy relative to the elements in eV/atom: -0.15
Magnetic moment in μB per formula unit: 0.000
Distance to the lowest polymorph of the same formula in kJ/mol of formula units: 10

a b c (Å): 7.8780 5.2263 11.1919
angles (deg): 90.00 119.56 90.00
Space group P2_1/c (No. 14)
Asymmetric unit:
In1 0.1813 0.1810 0.0945 (multiplicity 4)
Ga1 0.3021 0.6665 0.9211 (multiplicity 4)
Au1 0.0202 0.6049 0.1744 (multiplicity 4)
Au2 0.3476 0.1703 0.8950 (multiplicity 4)
Au3 0.3892 0.7187 0.2037 (multiplicity 4)



Material: Pm3Tm2Th2
Method: DFT, GGA-PBE
State: relaxed

Energy relative to the elements in eV/atom: 0.13
Magnetic moment in μB per formula unit: 0.000

a b c (Å): 9.4366 5.9211 9.1154
angles (deg): 90.00 116.78 90.00
Space group C2/m (No. 12)
Asymmetric unit:
Pm1 0.0000 0.0000 0.0000 (multiplicity 2)
Pm2 0.1374 0.0000 0.4269 (multiplicity 4)
Tm1 0.0717 0.5000 0.7154 (multiplicity 4)
Th1 0.2086 0.5000 0.1383 (multiplicity 4)



Material: Tb2HgOs
Method: DFT, GGA-PBE
State: relaxed

Energy relative to the elements in eV/atom: -0.36
Magnetic moment in μB per formula unit: 0.000
Distance to the lowest polymorph of the same formula in kJ/mol of formula units: 0

a b c (Å): 3.4648 3.4648 7.7065
angles (deg): 90.00 90.00 90.00
Space group P4/mmm (No. 123)
Asymmetric unit:
Tb1 0.0000 0.0000 0.2171 (multiplicity 2)
Hg1 0.5000 0.5000 0.5000 (multiplicity 1)
Os1 0.5000 0.5000 0.0000 (multiplicity 1)



| no. | V (Å³/f.u.) |
| --- | --- |
| 1 | 65 |
| 2 | 70 |
| 3 | 100 |
| 4 | 227 |
| 5 | 93 |